VASP calculation (PBE) on a geometry-optimized Ba3Ga2Pb3 structure.

Output
Magnetic moment, μB per formula unit: 0.00
Final energy, eV per atom: -3.32
Energy relative to the elements, meV/atom: -453
V, Å³/atom: 34.9

a b c (Å): 7.006 9.290 17.182
angles (deg): 90.00 90.00 90.00
Fractional coordinates of all 32 atoms:
Pb (0.595, 0.322, 0.456)
Pb (0.095, 0.178, 0.544)
Pb (0.905, 0.822, 0.456)
Pb (0.095, 0.178, 0.956)
Pb (0.405, 0.678, 0.956)
Pb (0.609, 0.314, 0.750)
Pb (0.391, 0.686, 0.250)
Pb (0.891, 0.814, 0.750)
Pb (0.905, 0.822, 0.044)
Pb (0.405, 0.678, 0.544)
Pb (0.595, 0.322, 0.044)
Pb (0.109, 0.186, 0.250)
Ba (0.127, 0.468, 0.394)
Ba (0.616, 0.329, 0.250)
Ba (0.627, 0.032, 0.606)
Ba (0.373, 0.968, 0.394)
Ba (0.627, 0.032, 0.894)
Ba (0.884, 0.829, 0.250)
Ba (0.127, 0.468, 0.106)
Ba (0.373, 0.968, 0.106)
Ba (0.873, 0.532, 0.606)
Ba (0.116, 0.171, 0.750)
Ba (0.873, 0.532, 0.894)
Ba (0.384, 0.671, 0.750)
Ga (0.390, 0.382, 0.895)
Ga (0.390, 0.382, 0.605)
Ga (0.110, 0.882, 0.605)
Ga (0.610, 0.618, 0.105)
Ga (0.890, 0.118, 0.395)
Ga (0.610, 0.618, 0.395)
Ga (0.890, 0.118, 0.105)
Ga (0.110, 0.882, 0.895)